(1)
# K2In3Br5

A geometry-optimized K2In3Br5 structure (GGA-PBE, Alexandria).

abc: 17.182 4.528 12.055
angles: 90.00 126.04 90.00
Space group C2/m (No. 12)
One atom of each set of equivalent atoms:
1 K 0.170 0.000 0.271 (multiplicity 4)
2 In 0.000 0.000 0.500 (multiplicity 2)
3 In 0.112 0.500 0.871 (multiplicity 4)
4 Br 0.000 0.500 0.000 (multiplicity 2)
5 Br 0.106 0.500 0.418 (multiplicity 4)
6 Br 0.214 0.000 0.800 (multiplicity 4)

(2)
# K3InBr6

A geometry-optimized K3InBr6 structure (GGA-PBE, Alexandria).

abc: 11.597 11.597 11.597
angles: 90.00 90.00 90.00
Space group Fm-3m (No. 225)
One atom of each set of equivalent atoms:
1 K 0.000 0.000 0.000 (multiplicity 4)
2 K 0.250 0.250 0.250 (multiplicity 8)
3 In 0.000 0.000 0.500 (multiplicity 4)
4 Br 0.000 0.000 0.268 (multiplicity 24)

(3)
# KInBr2

A geometry-optimized KInBr2 structure (GGA-PBE, Alexandria).

abc: 8.037 8.037 8.037
angles: 90.00 90.00 90.00
Space group Fm-3m (No. 225)
One atom of each set of equivalent atoms:
1 K 0.000 0.000 0.000 (multiplicity 4)
2 In 0.000 0.000 0.500 (multiplicity 4)
3 Br 0.250 0.250 0.250 (multiplicity 8)

(4)
# KInBr2

A geometry-optimized KInBr2 structure (GGA-PBE, Alexandria).

abc: 7.294 7.294 15.340
angles: 90.00 90.00 90.00
Space group I-42d (No. 122)
One atom of each set of equivalent atoms:
1 K 0.000 0.000 0.000 (multiplicity 4)
2 In 0.000 0.000 0.500 (multiplicity 4)
3 Br 0.247 0.250 0.625 (multiplicity 8)

(5)
# K3In4Br8

A geometry-optimized K3In4Br8 structure (GGA-PBE, Alexandria).

abc: 13.293 13.309 9.399
angles: 90.00 134.96 90.00
Space group C2/m (No. 12)
One atom of each set of equivalent atoms:
1 K 0.000 0.000 0.000 (multiplicity 2)
2 K 0.250 0.250 0.500 (multiplicity 4)
3 In 0.000 0.000 0.500 (multiplicity 2)
4 In 0.000 0.500 0.000 (multiplicity 2)
5 In 0.250 0.250 0.000 (multiplicity 4)
6 Br 0.000 0.224 0.500 (multiplicity 4)
7 Br 0.000 0.249 0.000 (multiplicity 4)
8 Br 0.223 0.000 0.499 (multiplicity 4)
9 Br 0.224 0.000 0.950 (multiplicity 4)

(6)
# K2InBr5

A geometry-optimized K2InBr5 structure (GGA-PBE, Alexandria).

abc: 12.945 13.674 9.549
angles: 90.00 90.00 90.00
Space group Pnnm (No. 58)
One atom of each set of equivalent atoms:
1 K 0.000 0.000 0.226 (multiplicity 4)
2 K 0.133 0.339 0.000 (multiplicity 4)
3 In 0.244 0.733 0.000 (multiplicity 4)
4 Br 0.074 0.160 0.500 (multiplicity 4)
5 Br 0.115 0.590 0.000 (multiplicity 4)
6 Br 0.121 0.118 0.000 (multiplicity 4)
7 Br 0.213 0.838 0.216 (multiplicity 8)

(7)
# K2In2Br7

A geometry-optimized K2In2Br7 structure (GGA-PBE, Alexandria).

abc: 6.996 16.474 8.423
angles: 90.00 97.92 90.00
Space group P2_1/c (No. 14)
One atom of each set of equivalent atoms:
1 K 0.143 0.147 0.411 (multiplicity 4)
2 In 0.333 0.618 0.659 (multiplicity 4)
3 Br 0.026 0.675 0.481 (multiplicity 4)
4 Br 0.212 0.553 0.914 (multiplicity 4)
5 Br 0.435 0.233 0.715 (multiplicity 4)
6 Br 0.500 0.000 0.000 (multiplicity 2)

(8)
# KIn2Br

A geometry-optimized KIn2Br structure (GGA-PBE, Alexandria).

abc: 3.648 6.163 6.197
angles: 90.00 90.00 90.00
Space group Pmmm (No. 47)
One atom of each set of equivalent atoms:
1 K 0.000 0.000 0.000 (multiplicity 1)
2 In 0.500 0.500 0.261 (multiplicity 2)
3 Br 0.000 0.000 0.500 (multiplicity 1)

(9)
# K6In3Br14

A geometry-optimized K6In3Br14 structure (GGA-PBE, Alexandria).

abc: 12.1963 12.1963 6.6820
angles: 90.00 90.00 120.00
Space group P3 (No. 143)
One atom of each set of equivalent atoms:
1 K 0.0092 0.4541 0.0000 (multiplicity 3)
2 K 0.3240 0.2143 0.4736 (multiplicity 3)
3 In 0.0000 0.0000 0.0733 (multiplicity 1)
4 In 0.3333 0.6667 0.5909 (multiplicity 1)
5 In 0.6667 0.3333 0.7248 (multiplicity 1)
6 Br 0.0000 0.0000 0.6948 (multiplicity 1)
7 Br 0.0818 0.2219 0.2184 (multiplicity 3)
8 Br 0.1950 0.7515 0.7297 (multiplicity 3)
9 Br 0.3333 0.6667 0.2105 (multiplicity 1)
10 Br 0.4274 0.2491 0.9548 (multiplicity 3)
11 Br 0.5104 0.0942 0.4936 (multiplicity 3)

(10)
# KIn3Br9

A geometry-optimized KIn3Br9 structure (GGA-PBE, Alexandria).

abc: 19.377 10.558 15.118
angles: 90.00 129.72 90.00
Space group Cc (No. 9)
One atom of each set of equivalent atoms:
1 K 0.000 0.230 0.000 (multiplicity 4)
2 In 0.145 0.124 0.824 (multiplicity 4)
3 In 0.260 0.438 0.745 (multiplicity 4)
4 In 0.391 0.098 0.717 (multiplicity 4)
5 Br 0.013 0.283 0.229 (multiplicity 4)
6 Br 0.136 0.375 0.758 (multiplicity 4)
7 Br 0.156 0.014 0.195 (multiplicity 4)
8 Br 0.221 0.346 0.153 (multiplicity 4)
9 Br 0.249 0.274 0.608 (multiplicity 4)
10 Br 0.290 0.075 0.043 (multiplicity 4)
11 Br 0.409 0.431 0.943 (multiplicity 4)
12 Br 0.443 0.036 0.916 (multiplicity 4)
13 Br 0.495 0.370 0.284 (multiplicity 4)

(11)
# KInBr2

A geometry-optimized KInBr2 structure (GGA-PBE, Alexandria).

abc: 8.084 8.084 8.084
angles: 90.00 90.00 90.00
Space group F-43m (No. 216)
One atom of each set of equivalent atoms:
1 K 0.000 0.000 0.000 (multiplicity 4)
2 In 0.250 0.250 0.250 (multiplicity 4)
3 Br 0.000 0.000 0.500 (multiplicity 4)
4 Br 0.250 0.250 0.750 (multiplicity 4)

(12)
# KIn3Br4

A geometry-optimized KIn3Br4 structure (GGA-PBE, Alexandria).

abc: 8.191 9.457 8.185
angles: 90.00 109.46 90.00
Space group P2/c (No. 13)
One atom of each set of equivalent atoms:
1 K 0.000 0.127 0.250 (multiplicity 2)
2 In 0.000 0.374 0.750 (multiplicity 2)
3 In 0.500 0.125 0.750 (multiplicity 2)
4 In 0.500 0.374 0.250 (multiplicity 2)
5 Br 0.248 0.122 0.000 (multiplicity 4)
6 Br 0.248 0.375 0.498 (multiplicity 4)

(13)
# K2InBr5

A geometry-optimized K2InBr5 structure (GGA-PBE, Alexandria).

abc: 8.118 8.118 9.616
angles: 90.00 90.00 90.00
Space group I4mm (No. 107)
One atom of each set of equivalent atoms:
1 K 0.000 0.500 0.000 (multiplicity 4)
2 In 0.000 0.000 0.228 (multiplicity 2)
3 Br 0.000 0.000 0.963 (multiplicity 2)
4 Br 0.227 0.227 0.284 (multiplicity 8)

(14)
# KInBr2

A geometry-optimized KInBr2 structure (GGA-PBE, Alexandria).

abc: 4.9233 4.9233 28.2586
angles: 90.00 90.00 120.00
Space group R-3m (No. 166, hexagonal axes)
One atom of each set of equivalent atoms:
1 K 0.0000 0.0000 0.0000 (multiplicity 3)
2 In 0.0000 0.0000 0.5000 (multiplicity 3)
3 Br 0.0000 0.0000 0.3961 (multiplicity 6)

(15)
# KInBr

A geometry-optimized KInBr structure (GGA-PBE, Alexandria).

abc: 14.867 4.069 7.365
angles: 90.00 90.00 90.00
Space group Amm2 (No. 38)
One atom of each set of equivalent atoms:
1 K 0.146 0.000 0.000 (multiplicity 4)
2 In 0.329 0.000 0.328 (multiplicity 4)
3 Br 0.000 0.000 0.326 (multiplicity 2)
4 Br 0.500 0.000 0.183 (multiplicity 2)

(16)
# KIn2Br

A geometry-optimized KIn2Br structure (GGA-PBE, Alexandria).

abc: 4.210 4.281 16.768
angles: 90.00 90.00 90.00
Space group Amm2 (No. 38)
One atom of each set of equivalent atoms:
1 K 0.000 0.000 0.000 (multiplicity 2)
2 In 0.000 0.000 0.702 (multiplicity 2)
3 In 0.500 0.000 0.253 (multiplicity 2)
4 Br 0.500 0.000 0.436 (multiplicity 2)

(17)
# K3In2Br5

A geometry-optimized K3In2Br5 structure (GGA-PBE, Alexandria).

abc: 16.965 4.551 12.271
angles: 90.00 126.68 90.00
Space group C2/m (No. 12)
One atom of each set of equivalent atoms:
1 K 0.000 0.000 0.000 (multiplicity 2)
2 K 0.111 0.500 0.372 (multiplicity 4)
3 In 0.175 0.000 0.773 (multiplicity 4)
4 Br 0.000 0.500 0.500 (multiplicity 2)
5 Br 0.107 0.500 0.922 (multiplicity 4)
6 Br 0.207 0.000 0.301 (multiplicity 4)

(18)
# KInBr2

A geometry-optimized KInBr2 structure (GGA-PBE, Alexandria).

abc: 4.300 4.334 15.836
angles: 90.00 90.00 90.00
Space group Imm2 (No. 44)
One atom of each set of equivalent atoms:
1 K 0.000 0.000 0.000 (multiplicity 2)
2 In 0.000 0.500 0.748 (multiplicity 2)
3 Br 0.000 0.000 0.584 (multiplicity 2)
4 Br 0.000 0.500 0.335 (multiplicity 2)

(19)
# KIn2Br

A geometry-optimized KIn2Br structure (GGA-PBE, Alexandria).

abc: 3.8471 3.8471 31.4668
angles: 90.00 90.00 120.00
Space group R-3m (No. 166, hexagonal axes)
One atom of each set of equivalent atoms:
1 K 0.0000 0.0000 0.0000 (multiplicity 3)
2 In 0.0000 0.0000 0.2395 (multiplicity 6)
3 Br 0.0000 0.0000 0.5000 (multiplicity 3)

(20)
# KIn2Br3

A geometry-optimized KIn2Br3 structure (GGA-PBE, Alexandria).

abc: 4.719 4.719 20.081
angles: 90.00 90.00 90.00
Space group I4/mmm (No. 139)
One atom of each set of equivalent atoms:
1 K 0.000 0.000 0.000 (multiplicity 2)
2 In 0.000 0.000 0.334 (multiplicity 4)
3 Br 0.000 0.000 0.165 (multiplicity 4)
4 Br 0.000 0.000 0.500 (multiplicity 2)

(21)
# KIn2Br

A geometry-optimized KIn2Br structure (GGA-PBE, Alexandria).

abc: 5.074 5.114 9.981
angles: 90.00 90.00 90.00
Space group Imm2 (No. 44)
One atom of each set of equivalent atoms:
1 K 0.000 0.000 0.000 (multiplicity 2)
2 In 0.000 0.000 0.498 (multiplicity 2)
3 In 0.000 0.500 0.249 (multiplicity 2)
4 Br 0.000 0.500 0.748 (multiplicity 2)

(22)
# KInBr2

A geometry-optimized KInBr2 structure (GGA-PBE, Alexandria).

abc: 5.0700 5.0700 28.1678
angles: 90.00 90.00 120.00
Space group R-3m (No. 166, hexagonal axes)
One atom of each set of equivalent atoms:
1 K 0.0000 0.0000 0.0000 (multiplicity 3)
2 In 0.0000 0.0000 0.5000 (multiplicity 3)
3 Br 0.0000 0.0000 0.1059 (multiplicity 6)

Looking at energy relative to the elements, uncorrected for the records above, in order, we have -1049 -1318 -1140 -1115 -1085 -1246 -1096 -311 -1289 -869 -792 -921 -1260 -1014 -631 -564 -1249 -1152 -156 -1017 -346 -929 meV/atom.
Looking at uncorrected energy for the records above, in order, we have -58.5 -117.0 -47.0 -46.6 -87.8 -93.1 -62.9 -9.5 -67.9 -142.7 -41.4 -46.7 -46.8 -33.7 -29.6 -21.0 -59.3 -23.6 -26.6 -35.4 -19.3 -32.7 eV/cell.